Entry 1:
# Ni2IrRu

A relaxed structure of Ni2IrRu (GGA-PBEsol, the Alexandria database).

Results
The calculation puts the energy of formation at 0.093 eV/atom. The value obtained for the total magnetization is 0.000 μB/f.u.

Cell lengths 4.4217, 4.4217, 4.4217 Å; angles 130.84, 130.84, 72.07 degrees
Closest atoms and distances in Å follow each position.
Fractional coordinates of all 4 atoms:
Ni  0.2500  0.7500  0.5000  4 Ru 2.57, 4 Ir 2.57, 4 Ni 2.60
Ni  0.7500  0.2500  0.5000  4 Ru 2.57, 4 Ir 2.57, 4 Ni 2.60
Ir  0.0000  0.0000  0.0000  8 Ni 2.57, 4 Ru 2.60
Ru  0.5000  0.5000  0.0000  8 Ni 2.57, 4 Ir 2.60

---

Entry 2:
# Ni2IrRu

A relaxed structure of Ni2IrRu (GGA-PBEsol, the Alexandria database).

Results
The calculation puts the energy of formation at 0.025 eV/atom. The value obtained for the total magnetization is 0.001 μB/f.u.

Cell lengths 4.4895, 4.4895, 4.3754 Å; angles 100.01, 100.01, 33.98 degrees
Closest atoms and distances in Å follow each position.
Fractional coordinates of all 4 atoms:
Ni  0.0000  0.0000  0.0000  4 Ir 2.54-2.57, 5 Ni 2.54-2.62, 3 Ru 2.60-2.61
Ni  0.7468  0.7468  0.2288  4 Ru 2.52-2.58, 5 Ni 2.54-2.62, 3 Ir 2.61
Ir  0.4978  0.4978  0.4953  7 Ni 2.54-2.61, 3 Ru 2.55-2.58, 2 Ir 2.62
Ru  0.2485  0.2485  0.7366  7 Ni 2.52-2.61, 3 Ir 2.55-2.58, 2 Ru 2.62

---

Entry 3:
# NiIrRu

A relaxed structure of NiIrRu (GGA-PBEsol, the Alexandria database).

Results
The calculation puts the energy of formation at 0.059 eV/atom. The value obtained for the total magnetization is 0.001 μB/f.u.

Cell lengths 5.7033, 5.7033, 5.7033 Å; angles 153.02, 153.02, 38.52 degrees
Closest atoms and distances in Å follow each position.
Fractional coordinates of all 3 atoms:
Ni  0.0000  0.0000  0.0000  4 Ru 2.57, 4 Ir 2.61, 4 Ni 2.66
Ir  0.3323  0.3323  0.0000  4 Ni 2.61, 4 Ru 2.62, 4 Ir 2.66
Ru  0.6627  0.6627  0.0000  4 Ni 2.57, 4 Ir 2.62, 4 Ru 2.66

---

Entry 4:
# Ni2IrRu

A relaxed structure of Ni2IrRu (GGA-PBEsol, the Alexandria database).

Results
The calculation puts the energy of formation at 0.101 eV/atom. The value obtained for the total magnetization is 0.001 μB/f.u.

Cell lengths 2.6031, 3.5628, 5.2210 Å; angles 90.00, 90.00, 90.00 degrees
Closest atoms and distances in Å follow each position.
Fractional coordinates of all 4 atoms:
Ni  0.0000  0.0000  0.2473  4 Ru 2.56, 4 Ir 2.57, 4 Ni 2.58-2.64
Ni  0.0000  0.0000  0.7527  4 Ru 2.56, 4 Ir 2.57, 4 Ni 2.58-2.64
Ir  0.5000  0.5000  0.5000  8 Ni 2.57, 2 Ir 2.60, 2 Ru 2.61
Ru  0.5000  0.5000  0.0000  8 Ni 2.56, 2 Ru 2.60, 2 Ir 2.61

---

Entry 5:
# Ni2IrRu

A relaxed structure of Ni2IrRu (GGA-PBEsol, the Alexandria database).

Results
The calculation puts the energy of formation at 0.098 eV/atom. The value obtained for the total magnetization is 0.000 μB/f.u.

Cell lengths 3.6823, 3.6823, 3.5690 Å; angles 90.00, 90.00, 90.00 degrees
Closest atoms and distances in Å follow each position.
Fractional coordinates of all 4 atoms:
Ni  0.0000  0.5000  0.0000  4 Ir 2.56, 4 Ru 2.56, 4 Ni 2.60
Ni  0.5000  0.0000  0.0000  4 Ir 2.56, 4 Ru 2.56, 4 Ni 2.60
Ir  0.0000  0.0000  0.5000  8 Ni 2.56, 4 Ru 2.60
Ru  0.5000  0.5000  0.5000  8 Ni 2.56, 4 Ir 2.60

---

Entry 6:
# NiSn2IrRu

A relaxed structure of NiSn2IrRu (GGA-PBEsol, the Alexandria database).

Results
The calculation puts the energy of formation at 1.196 eV/atom. The value obtained for the total magnetization is 3.232 μB/f.u.

Cell lengths 4.9438, 4.9438, 4.5165 Å; angles 90.00, 90.00, 90.00 degrees
Closest atoms and distances in Å follow each position.
Fractional coordinates of all 5 atoms:
Ni  0.0000  0.0000  0.0000  2 Ir 2.26
Sn  0.0000  0.5000  0.5000  2 Ir 2.47
Sn  0.5000  0.0000  0.5000  2 Ir 2.47
Ir  0.0000  0.0000  0.5000  2 Ni 2.26, 4 Sn 2.47
Ru  0.5000  0.5000  0.0000  8 Sn 3.35, 4 Ni 3.50

---

Entry 7:
# YNiIr2Ru

A relaxed structure of YNiIr2Ru (GGA-PBEsol, the Alexandria database).

Results
The calculation puts the energy of formation at 0.693 eV/atom. The value obtained for the total magnetization is 2.677 μB/f.u.

Cell lengths 4.5041, 4.5041, 4.3805 Å; angles 90.00, 90.00, 90.00 degrees
Closest atoms and distances in Å follow each position.
Fractional coordinates of all 5 atoms:
Y  0.0000  0.0000  0.0000  8 Ir 3.14, 4 Ru 3.18
Ni  0.5000  0.5000  0.5000  2 Ru 2.19, 4 Ir 2.25
Ir  0.0000  0.5000  0.5000  2 Ni 2.25
Ir  0.5000  0.0000  0.5000  2 Ni 2.25
Ru  0.5000  0.5000  0.0000  2 Ni 2.19

---

Entry 8:
# NiSbIr2

A relaxed structure of NiSbIr2 (GGA-PBEsol, the Alexandria database).

Results
Its uncorrected formation energy is 0.24 eV/atom. The value obtained for the total magnetization is 0.000 μB/f.u.

Cell lengths 5.3311, 5.3311, 2.8380 Å; angles 105.31, 105.31, 119.17 degrees
Closest atoms and distances in Å follow each position.
Fractional coordinates of all 4 atoms:
Ni  0.0000  0.0000  0.0000  4 Ir 2.67, 4 Sb 2.70-2.71, 2 Ni 2.84
Sb  0.5000  0.5000  0.0000  4 Ir 2.67, 4 Ni 2.70-2.71, 2 Sb 2.84
Ir  0.0000  0.5000  0.0000  2 Sb 2.67, 2 Ni 2.67, 6 Ir 2.70-2.84
Ir  0.5000  0.0000  0.0000  2 Sb 2.67, 2 Ni 2.67, 6 Ir 2.70-2.84

---

Entry 9:
# Ni2SbIr

A relaxed structure of Ni2SbIr (GGA-PBEsol, the Alexandria database).

Results
Its uncorrected formation energy is 0.12 eV/atom. The value obtained for the total magnetization is 0.006 μB/f.u.

Cell lengths 2.8597, 3.6299, 5.3487 Å; angles 90.00, 90.00, 90.00 degrees
Closest atoms and distances in Å follow each position.
Fractional coordinates of all 4 atoms:
Ni  0.0000  0.0000  0.2341  1 Ni 2.50, 4 Ir 2.63, 4 Sb 2.71
Ni  0.0000  0.0000  0.7659  1 Ni 2.50, 4 Ir 2.63, 4 Sb 2.71
Sb  0.5000  0.5000  0.5000  2 Ir 2.67, 8 Ni 2.71, 2 Sb 2.86
Ir  0.5000  0.5000  0.0000  8 Ni 2.63, 2 Sb 2.67, 2 Ir 2.86

---

Entry 10:
# Ni6SbIr

A relaxed structure of Ni6SbIr (GGA-PBEsol, the Alexandria database).

Results
Its uncorrected formation energy is -0.06 eV/atom. The value obtained for the total magnetization is 0.003 μB/f.u.

Cell lengths 6.2681, 6.2681, 10.2479 Å; angles 90.00, 90.00, 109.54 degrees
Closest atoms and distances in Å follow each position.
Fractional coordinates of all 32 atoms:
Ni  0.0000  0.0000  0.0000  4 Ir 2.51-2.59, 8 Ni 2.54
Ni  0.0000  0.0000  0.5000  8 Ni 2.54, 2 Sb 2.58, 2 Ir 2.62
Ni  0.1200  0.3728  0.1225  8 Ni 2.51-2.59, 3 Ir 2.53-2.54, 1 Sb 2.58
Ni  0.1200  0.3728  0.8775  8 Ni 2.51-2.59, 3 Ir 2.53-2.54, 1 Sb 2.58
Ni  0.1210  0.3684  0.3719  8 Ni 2.53-2.63, 1 Ir 2.54, 3 Sb 2.56-2.60
Ni  0.1210  0.3684  0.6281  8 Ni 2.53-2.63, 1 Ir 2.54, 3 Sb 2.56-2.60
Ni  0.2472  0.7528  0.2457  8 Ni 2.51-2.61, 2 Ir 2.52-2.53, 2 Sb 2.59-2.61
Ni  0.2472  0.7528  0.7543  8 Ni 2.51-2.61, 2 Ir 2.52-2.53, 2 Sb 2.59-2.61
Ni  0.3684  0.1210  0.3719  8 Ni 2.53-2.63, 1 Ir 2.54, 3 Sb 2.56-2.60
Ni  0.3684  0.1210  0.6281  8 Ni 2.53-2.63, 1 Ir 2.54, 3 Sb 2.56-2.60
Ni  0.3728  0.1200  0.1225  8 Ni 2.51-2.59, 3 Ir 2.53-2.54, 1 Sb 2.58
Ni  0.3728  0.1200  0.8775  8 Ni 2.51-2.59, 3 Ir 2.53-2.54, 1 Sb 2.58
Ni  0.5000  0.5000  0.0000  2 Ir 2.53, 2 Sb 2.53, 8 Ni 2.57
Ni  0.5000  0.5000  0.5000  4 Sb 2.54-2.60, 8 Ni 2.60
Ni  0.6272  0.8800  0.1225  8 Ni 2.51-2.59, 3 Ir 2.53-2.54, 1 Sb 2.58
Ni  0.6272  0.8800  0.8775  8 Ni 2.51-2.59, 3 Ir 2.53-2.54, 1 Sb 2.58
Ni  0.6316  0.8790  0.3719  8 Ni 2.53-2.63, 1 Ir 2.54, 3 Sb 2.56-2.60
Ni  0.6316  0.8790  0.6281  8 Ni 2.53-2.63, 1 Ir 2.54, 3 Sb 2.56-2.60
Ni  0.7528  0.2472  0.2457  8 Ni 2.51-2.61, 2 Ir 2.52-2.53, 2 Sb 2.59-2.61
Ni  0.7528  0.2472  0.7543  8 Ni 2.51-2.61, 2 Ir 2.52-2.53, 2 Sb 2.59-2.61
Ni  0.8790  0.6316  0.3719  8 Ni 2.53-2.63, 1 Ir 2.54, 3 Sb 2.56-2.60
Ni  0.8790  0.6316  0.6281  8 Ni 2.53-2.63, 1 Ir 2.54, 3 Sb 2.56-2.60
Ni  0.8800  0.6272  0.1225  8 Ni 2.51-2.59, 3 Ir 2.53-2.54, 1 Sb 2.58
Ni  0.8800  0.6272  0.8775  8 Ni 2.51-2.59, 3 Ir 2.53-2.54, 1 Sb 2.58
Sb  0.2518  0.7482  0.5000  12 Ni 2.54-2.61
Sb  0.5000  0.5000  0.2467  12 Ni 2.53-2.60
Sb  0.5000  0.5000  0.7533  12 Ni 2.53-2.60
Sb  0.7482  0.2518  0.5000  12 Ni 2.54-2.61
Ir  0.0000  0.0000  0.2446  12 Ni 2.51-2.62
Ir  0.0000  0.0000  0.7554  12 Ni 2.51-2.62
Ir  0.2533  0.7467  0.0000  12 Ni 2.52-2.59
Ir  0.7467  0.2533  0.0000  12 Ni 2.52-2.59

---

Entry 11:
# NiSb2Ir

A relaxed structure of NiSb2Ir (GGA-PBEsol, the Alexandria database).

Results
Its uncorrected formation energy is 0.58 eV/atom. The value obtained for the total magnetization is 0.000 μB/f.u.

Cell lengths 4.6464, 4.6464, 4.6464 Å; angles 60.00, 60.00, 60.00 degrees
Closest atoms and distances in Å follow each position.
Fractional coordinates of all 4 atoms:
Ni  0.0000  0.0000  0.0000  4 Sb 2.85, 4 Ir 2.85
Sb  0.5000  0.5000  0.5000  4 Sb 2.85, 4 Ir 2.85
Sb  0.7500  0.7500  0.7500  4 Ni 2.85, 4 Sb 2.85
Ir  0.2500  0.2500  0.2500  4 Sb 2.85, 4 Ni 2.85

---

Entry 12:
# Ni2SbIr

A relaxed structure of Ni2SbIr (GGA-PBEsol, the Alexandria database).

Results
Its uncorrected formation energy is -0.10 eV/atom. The value obtained for the total magnetization is 0.001 μB/f.u.

Cell lengths 3.8140, 3.8140, 3.7069 Å; angles 90.00, 90.00, 90.00 degrees
Closest atoms and distances in Å follow each position.
Fractional coordinates of all 4 atoms:
Ni  0.0000  0.5000  0.0000  4 Ir 2.66, 4 Sb 2.66, 4 Ni 2.70
Ni  0.5000  0.0000  0.0000  4 Ir 2.66, 4 Sb 2.66, 4 Ni 2.70
Sb  0.0000  0.0000  0.5000  8 Ni 2.66, 4 Ir 2.70
Ir  0.5000  0.5000  0.5000  8 Ni 2.66, 4 Sb 2.70

---

Entry 13:
# Si2NiSbIr

A relaxed structure of Si2NiSbIr (GGA-PBEsol, the Alexandria database).

Results
Its uncorrected formation energy is 0.57 eV/atom. The value obtained for the total magnetization is 0.000 μB/f.u.

Cell lengths 4.1608, 4.1608, 5.0182 Å; angles 90.00, 90.00, 90.00 degrees
Closest atoms and distances in Å follow each position.
Fractional coordinates of all 5 atoms:
Si  0.0000  0.5000  0.0000  2 Ni 2.08
Si  0.5000  0.0000  0.0000  2 Ni 2.08
Ni  0.0000  0.0000  0.0000  4 Si 2.08
Sb  0.0000  0.0000  0.5000  2 Ni 2.51
Ir  0.5000  0.5000  0.5000  4 Sb 2.94, 8 Si 3.26

---

Entry 14:
# Ni2SbTeIr

A relaxed structure of Ni2SbTeIr (GGA-PBEsol, the Alexandria database).

Results
Its uncorrected formation energy is 0.86 eV/atom. The value obtained for the total magnetization is 2.152 μB/f.u.

Cell lengths 4.6617, 4.6617, 4.8969 Å; angles 90.00, 90.00, 90.00 degrees
Closest atoms and distances in Å follow each position.
Fractional coordinates of all 5 atoms:
Ni  0.0000  0.5000  0.0000  2 Ir 2.33
Ni  0.5000  0.0000  0.0000  2 Ir 2.33
Sb  0.0000  0.0000  0.5000  2 Ir 2.45
Te  0.5000  0.5000  0.5000  4 Sb 3.30, 8 Ni 3.38
Ir  0.0000  0.0000  0.0000  4 Ni 2.33, 2 Sb 2.45

---

Entry 15:
# ScNiIr3

A relaxed structure of ScNiIr3 (GGA-PBEsol, the Alexandria database).

Results
The calculation puts the energy of formation at 0.837 eV/atom. The value obtained for the total magnetization is 2.381 μB/f.u.

Cell lengths 4.4200, 4.4200, 4.4200 Å; angles 90.00, 90.00, 90.00 degrees
Closest atoms and distances in Å follow each position.
Fractional coordinates of all 5 atoms:
Sc  0.0000  0.0000  0.0000  12 Ir 3.13
Ni  0.5000  0.5000  0.5000  6 Ir 2.21
Ir  0.0000  0.5000  0.5000  2 Ni 2.21
Ir  0.5000  0.0000  0.5000  2 Ni 2.21
Ir  0.5000  0.5000  0.0000  2 Ni 2.21

---

Entry 16:
# ScNiIr2

A relaxed structure of ScNiIr2 (GGA-PBEsol, the Alexandria database).

Results
The calculation puts the energy of formation at -0.332 eV/atom. The value obtained for the total magnetization is 0.002 μB/f.u.

Cell lengths 2.7692, 4.2511, 5.0722 Å; angles 90.00, 104.47, 90.00 degrees
Closest atoms and distances in Å follow each position.
Fractional coordinates of all 4 atoms:
Sc  0.0000  0.0000  0.0000  2 Ni 2.57, 2 Sc 2.77, 4 Ir 2.84
Ni  0.5000  0.0000  0.5000  4 Ir 2.50, 2 Sc 2.57, 2 Ni 2.77
Ir  0.3577  0.5000  0.7280  2 Ni 2.50, 5 Ir 2.62-2.77
Ir  0.6423  0.5000  0.2720  2 Ni 2.50, 5 Ir 2.62-2.77

---

Entry 17:
# ScNi4Ir

A relaxed structure of ScNi4Ir (GGA-PBEsol, the Alexandria database).

Results
The calculation puts the energy of formation at -0.307 eV/atom. The value obtained for the total magnetization is 1.715 μB/f.u.

Cell lengths 4.6970, 4.6970, 4.6970 Å; angles 60.00, 60.00, 60.00 degrees
Closest atoms and distances in Å follow each position.
Fractional coordinates of all 6 atoms:
Sc  0.0000  0.0000  0.0000  12 Ni 2.76, 4 Ir 2.88
Ni  0.1274  0.6242  0.6242  6 Ni 2.33-2.36
Ni  0.6242  0.1274  0.6242  6 Ni 2.33-2.36
Ni  0.6242  0.6242  0.1274  6 Ni 2.33-2.36
Ni  0.6242  0.6242  0.6242  6 Ni 2.33-2.36
Ir  0.2500  0.2500  0.2500  12 Ni 2.75, 4 Sc 2.88

---

Entry 18:
# ScNiIr2

A relaxed structure of ScNiIr2 (GGA-PBEsol, the Alexandria database).

Results
The calculation puts the energy of formation at -0.196 eV/atom. The value obtained for the total magnetization is 0.050 μB/f.u.

Cell lengths 4.3396, 4.3396, 4.3396 Å; angles 60.00, 60.00, 60.00 degrees
Closest atoms and distances in Å follow each position.
Fractional coordinates of all 4 atoms:
Sc  0.0000  0.0000  0.0000  4 Ir 2.66, 4 Ni 2.66
Ni  0.2500  0.2500  0.2500  4 Ir 2.66, 4 Sc 2.66
Ir  0.5000  0.5000  0.5000  4 Ir 2.66, 4 Ni 2.66
Ir  0.7500  0.7500  0.7500  4 Sc 2.66, 4 Ir 2.66

---

Entry 19:
# ScNiIr2

A relaxed structure of ScNiIr2 (GGA-PBEsol, the Alexandria database).

Results
The calculation puts the energy of formation at -0.364 eV/atom. The value obtained for the total magnetization is 0.000 μB/f.u.

Cell lengths 4.7421, 4.7421, 4.5673 Å; angles 101.57, 101.57, 34.70 degrees
Closest atoms and distances in Å follow each position.
Fractional coordinates of all 4 atoms:
Sc  0.0000  0.0000  0.0000  3 Ni 2.64-2.73, 7 Ir 2.68-2.84, 2 Sc 2.83
Ni  0.7556  0.7556  0.2301  7 Ir 2.56-2.86, 3 Sc 2.64-2.73, 2 Ni 2.83
Ir  0.2414  0.2414  0.6917  4 Ni 2.56-2.82, 5 Ir 2.63-2.83, 3 Sc 2.84
Ir  0.4961  0.4961  0.4962  5 Ir 2.63-2.83, 3 Ni 2.67-2.86, 4 Sc 2.68-2.69

---

Entry 20:
# ScNiIr

A relaxed structure of ScNiIr (GGA-PBEsol, the Alexandria database).

Results
The calculation puts the energy of formation at -0.347 eV/atom. The value obtained for the total magnetization is 0.257 μB/f.u.

Cell lengths 4.9826, 4.9826, 4.9826 Å; angles 143.50, 143.50, 52.57 degrees
Closest atoms and distances in Å follow each position.
Fractional coordinates of all 3 atoms:
Sc  0.0000  0.0000  0.0000  5 Ni 2.67-2.97, 5 Ir 2.70-2.90
Ni  0.3322  0.3322  0.0000  4 Ir 2.62, 4 Sc 2.67
Ir  0.6751  0.6751  0.0000  4 Ni 2.62, 5 Sc 2.70-2.90